No. 1
{"formula": "LaSm5Se8", "functional": "GGA-PBE", "state": "relaxed", "de_polymorph_ev_per_atom": 0.000, "e_form_raw_kj_per_mol_fu": -2519.0, "e_tot_ev_per_atom": -5.893, "m_tot_mub_per_cell": 0.00, "lattice_angstrom": [[7.289, 0.000, -2.507], [-3.636, 6.280, -2.600], [-0.016, 0.000, 7.708]], "species": ["La", "Sm", "Sm", "Sm", "Sm", "Sm", "Se", "Se", "Se", "Se", "Se", "Se", "Se", "Se"], "fractional_positions": [[0.250, 0.500, 0.750], [0.988, 0.363, 0.124], [0.876, 0.865, 0.240], [0.760, 0.637, 0.625], [0.500, 0.000, 0.500], [0.375, 0.135, 0.012], [0.122, 0.750, 0.023], [0.977, 0.099, 0.727], [0.768, 0.249, 0.375], [0.625, 0.393, 0.874], [0.481, 0.607, 0.232], [0.628, 0.901, 0.878], [0.273, 0.250, 0.372], [0.126, 0.751, 0.519]]}

No. 2
{"formula": "Ce2ScCr2N6", "functional": "GGA-PBE", "state": "relaxed", "e_form_raw_kj_per_mol_fu": -886.1, "e_tot_ev_per_atom": -8.780, "m_tot_mub_per_cell": 2.99, "lattice_angstrom": [[-0.366, -4.709, -3.274], [4.770, -2.822, -1.518], [1.064, -5.642, 2.952]], "species": ["Ce", "Ce", "Sc", "Cr", "Cr", "N", "N", "N", "N", "N", "N"], "fractional_positions": [[0.796, 0.796, 0.611], [0.204, 0.204, 0.389], [0.000, 0.000, 0.000], [0.432, 0.432, 0.703], [0.568, 0.568, 0.297], [0.751, 0.751, 0.265], [0.234, 0.751, 0.265], [0.751, 0.234, 0.265], [0.249, 0.766, 0.735], [0.766, 0.249, 0.735], [0.249, 0.249, 0.735]]}

No. 3
{"formula": "SmLuBiPb", "functional": "GGA-PBE", "state": "relaxed", "e_tot_ev_per_atom": -4.632, "m_tot_mub_per_cell": 0.00, "delta_e_f_ev_per_atom": -0.42, "lattice_angstrom": [[-5.354, 1.215, 0.313], [-3.448, -3.415, 2.587], [-2.212, 1.456, 4.820]], "species": ["Pb", "Lu", "Bi", "Sm"], "fractional_positions": [[0.250, 0.250, 0.250], [0.000, 0.000, 0.000], [0.750, 0.750, 0.750], [0.500, 0.500, 0.500]]}

No. 4
{"formula": "NaSbAu", "functional": "GGA-PBE", "state": "relaxed", "e_form_raw_kj_per_mol_fu": -105.8, "e_tot_ev_per_atom": -3.272, "m_tot_mub_per_cell": 0.00, "lattice_angstrom": [[-0.431, -3.507, -0.721], [3.918, 0.083, -2.745], [0.367, -1.005, 4.664]], "species": ["Sb", "Au", "Na"], "fractional_positions": [[0.167, 0.333, 0.667], [0.166, 0.000, 0.000], [0.667, 0.667, 0.333]]}

No. 5
{"formula": "YPb3O", "functional": "GGA-PBE", "state": "relaxed", "de_polymorph_ev_per_atom": 1.392, "e_form_raw_kj_per_mol_fu": 465.2, "e_tot_ev_per_atom": -3.545, "m_tot_mub_per_cell": 0.00, "lattice_angstrom": [[-1.849, 5.574, -0.963], [-2.349, 0.166, 5.466], [5.146, 2.078, 2.148]], "species": ["Pb", "Pb", "Pb", "Y", "O"], "fractional_positions": [[0.000, 0.500, 0.000], [0.000, 0.000, 0.500], [0.500, 0.000, 0.000], [0.000, 0.000, 0.000], [0.500, 0.500, 0.500]]}

No. 6
{"formula": "FeCo2H", "functional": "GGA-PBE", "state": "relaxed", "de_polymorph_ev_per_atom": 0.258, "e_tot_ev_per_atom": -6.239, "m_tot_mub_per_cell": 5.41, "lattice_angstrom": [[2.454, 0.000, 0.000], [0.000, 2.454, 0.000], [0.000, 0.000, 6.014]], "species": ["H", "Co", "Co", "Fe"], "fractional_positions": [[0.500, 0.500, 0.000], [0.000, 0.000, 0.807], [0.000, 0.000, 0.193], [0.500, 0.500, 0.500]]}

No. 7
{"formula": "PmPrIn4", "functional": "GGA-PBE", "state": "relaxed", "de_polymorph_ev_per_atom": 0.047, "e_tot_ev_per_atom": -3.843, "m_tot_mub_per_cell": 0.00, "delta_e_f_ev_per_atom": -0.43, "lattice_angstrom": [[6.091, 0.000, 0.000], [3.045, 5.275, 0.000], [3.045, 1.758, 4.973]], "species": ["Pr", "In", "In", "In", "In", "Pm"], "fractional_positions": [[0.000, 0.000, 0.000], [0.625, 0.625, 0.125], [0.625, 0.125, 0.625], [0.625, 0.625, 0.625], [0.125, 0.625, 0.625], [0.250, 0.250, 0.250]]}

No. 8
{"formula": "Ca3AlPb", "functional": "GGA-PBE", "state": "relaxed", "de_polymorph_ev_per_atom": 0.000, "e_tot_ev_per_atom": -2.616, "m_tot_mub_per_cell": 0.00, "delta_e_f_ev_per_atom": 0.08, "lattice_angstrom": [[-3.995, -4.031, -1.020], [1.541, -0.122, -5.555], [3.862, -4.122, 1.162]], "species": ["Pb", "Ca", "Ca", "Ca", "Al"], "fractional_positions": [[0.500, 0.500, 0.500], [0.000, 0.500, 0.000], [0.000, 0.000, 0.500], [0.500, 0.000, 0.000], [0.000, 0.000, 0.000]]}

No. 9
{"formula": "Bi3SbAs", "functional": "GGA-PBE", "state": "relaxed", "de_polymorph_ev_per_atom": 0.000, "e_form_raw_kj_per_mol_fu": 279.2, "e_tot_ev_per_atom": -3.504, "m_tot_mub_per_cell": 0.00, "lattice_angstrom": [[-3.098, -3.596, -2.884], [4.390, -1.243, -3.167], [1.405, -4.046, 3.535]], "species": ["Sb", "As", "Bi", "Bi", "Bi"], "fractional_positions": [[0.500, 0.500, 0.500], [0.000, 0.000, 0.000], [0.000, 0.500, 0.000], [0.000, 0.000, 0.500], [0.500, 0.000, 0.000]]}

No. 10
{"formula": "Cs2K2Sb", "functional": "GGA-PBE", "state": "relaxed", "de_polymorph_ev_per_atom": 0.000, "e_form_raw_kj_per_mol_fu": -117.2, "e_tot_ev_per_atom": -1.848, "m_tot_mub_per_cell": 1.14, "lattice_angstrom": [[-1.475, -6.168, -2.691], [5.278, -3.781, 5.772], [-8.018, -0.996, 6.679]], "species": ["Cs", "Cs", "Cs", "Cs", "K", "K", "K", "K", "Sb", "Sb"], "fractional_positions": [[0.500, 0.708, 0.406], [0.500, 0.292, 0.594], [0.500, 0.208, 0.094], [0.500, 0.792, 0.906], [0.000, 0.655, 0.180], [0.000, 0.345, 0.820], [0.000, 0.155, 0.320], [0.000, 0.845, 0.680], [0.000, 0.000, 0.000], [0.000, 0.500, 0.500]]}

No. 11
{"formula": "TaAgRu2", "functional": "GGA-PBE", "state": "relaxed", "de_polymorph_ev_per_atom": 0.098, "e_tot_ev_per_atom": -8.146, "m_tot_mub_per_cell": 0.00, "delta_e_f_ev_per_atom": 0.17, "lattice_angstrom": [[-1.476, -3.661, 2.650], [-1.159, -4.609, -0.139], [4.210, -2.259, 1.247]], "species": ["Ag", "Ru", "Ru", "Ta"], "fractional_positions": [[0.250, 0.250, 0.250], [0.014, 0.014, 0.979], [0.486, 0.486, 0.521], [0.750, 0.750, 0.750]]}

No. 12
{"formula": "RbAgHg2Se", "functional": "GGA-PBE", "state": "relaxed", "e_form_raw_kj_per_mol_fu": -130.2, "e_tot_ev_per_atom": -1.851, "m_tot_mub_per_cell": 0.00, "lattice_angstrom": [[-5.484, 0.684, -0.867], [-0.909, -5.289, 1.580], [-0.599, 1.614, 5.060]], "species": ["Rb", "Se", "Hg", "Hg", "Ag"], "fractional_positions": [[0.500, 0.500, 0.500], [0.000, 0.000, 0.500], [0.000, 0.500, 0.000], [0.500, 0.000, 0.000], [0.000, 0.000, 0.000]]}

| no. | N(E_F) (states/eV per atom) |
| --- | --- |
| 1 | 0.70 |
| 2 | 1.01 |
| 3 | 1.24 |
| 4 | 0.32 |
| 5 | 3.91 |
| 6 | 1.23 |
| 7 | 0.75 |
| 8 | 1.75 |
| 9 | 1.16 |
| 10 | 0.57 |
| 11 | 0.78 |
| 12 | 0.12 |